1.
The following is a DFT calculation (PBE) of a relaxed Al6GaMo2 crystal.

Values from the calculation:
- D(E_F) (states/eV/f.u.) = 3.5
- V (Å³/cell) = 140
- calculated formation energy (kcal/mol of atoms) = -4.1
- SG = C2/m, No. 12

The structure in CIF format:
```
data_Al6GaMo2
_chemical_formula_sum 'Al6 Ga1 Mo2'
_cell_length_a 6.582
_cell_length_b 6.582
_cell_length_c 6.496
_cell_angle_alpha 111.43
_cell_angle_beta 111.43
_cell_angle_gamma 32.45
_symmetry_space_group_name_H-M 'P 1'
_symmetry_Int_Tables_number 1
_symmetry_space_group_name_Hall 'P 1'
loop_
_atom_site_label
_atom_site_fract_x
_atom_site_fract_y
_atom_site_fract_z
_atom_site_occupancy
Al1 0.103 0.103 0.150 1
Al2 0.226 0.226 0.845 1
Al3 0.328 0.328 0.499 1
Al4 0.672 0.672 0.501 1
Al5 0.774 0.774 0.155 1
Al6 0.897 0.897 0.850 1
Ga1 0.000 0.000 0.500 1
Mo1 0.444 0.444 0.197 1
Mo2 0.556 0.556 0.803 1
```


2.
The following is a DFT calculation (PBE) of a relaxed RbAl2GaMo crystal.

Values from the calculation:
- D(E_F) (states/eV/f.u.) = 2.8
- energy relative to the lowest polymorph listed for this composition (eV/f.u.) = 5.59
- V (Å³/cell) = 147
- calculated formation energy (kcal/mol of atoms) = 31.1
- SG = P4/mmm, No. 123

The structure in CIF format:
```
data_RbAl2GaMo
_chemical_formula_sum 'Rb1 Al2 Ga1 Mo1'
_cell_length_a 5.001
_cell_length_b 5.001
_cell_length_c 5.865
_cell_angle_alpha 90.00
_cell_angle_beta 90.00
_cell_angle_gamma 90.00
_symmetry_space_group_name_H-M 'P 1'
_symmetry_Int_Tables_number 1
_symmetry_space_group_name_Hall 'P 1'
loop_
_atom_site_label
_atom_site_fract_x
_atom_site_fract_y
_atom_site_fract_z
_atom_site_occupancy
Rb1 0.000 0.000 0.000 1
Al1 0.000 0.500 0.500 1
Al2 0.500 0.000 0.500 1
Ga1 0.000 0.000 0.500 1
Mo1 0.500 0.500 0.000 1
```


3.
The following is a DFT calculation (PBE) of a relaxed RbAlGaMo2 crystal.

Values from the calculation:
- D(E_F) (states/eV/f.u.) = 3.1
- V (Å³/cell) = 127
- calculated formation energy (kcal/mol of atoms) = 34.2
- SG = P4/mmm, No. 123

The structure in CIF format:
```
data_RbAlGaMo2
_chemical_formula_sum 'Rb1 Al1 Ga1 Mo2'
_cell_length_a 5.097
_cell_length_b 5.097
_cell_length_c 4.900
_cell_angle_alpha 90.00
_cell_angle_beta 90.00
_cell_angle_gamma 90.00
_symmetry_space_group_name_H-M 'P 1'
_symmetry_Int_Tables_number 1
_symmetry_space_group_name_Hall 'P 1'
loop_
_atom_site_label
_atom_site_fract_x
_atom_site_fract_y
_atom_site_fract_z
_atom_site_occupancy
Rb1 0.000 0.000 0.000 1
Al1 0.500 0.500 0.000 1
Ga1 0.500 0.500 0.500 1
Mo1 0.000 0.500 0.500 1
Mo2 0.500 0.000 0.500 1
```


4.
The following is a DFT calculation (PBE) of a relaxed RbAl2GaMo crystal.

Values from the calculation:
- D(E_F) (states/eV/f.u.) = 2.8
- energy relative to the lowest polymorph listed for this composition (eV/f.u.) = 0.00
- V (Å³/cell) = 128
- calculated formation energy (kcal/mol of atoms) = 5.4
- SG = P4/mmm, No. 123

The structure in CIF format:
```
data_RbAl2GaMo
_chemical_formula_sum 'Rb1 Al2 Ga1 Mo1'
_cell_length_a 5.034
_cell_length_b 5.034
_cell_length_c 5.069
_cell_angle_alpha 90.00
_cell_angle_beta 90.00
_cell_angle_gamma 90.00
_symmetry_space_group_name_H-M 'P 1'
_symmetry_Int_Tables_number 1
_symmetry_space_group_name_Hall 'P 1'
loop_
_atom_site_label
_atom_site_fract_x
_atom_site_fract_y
_atom_site_fract_z
_atom_site_occupancy
Rb1 0.000 0.000 0.000 1
Al1 0.000 0.500 0.500 1
Al2 0.500 0.000 0.500 1
Ga1 0.500 0.500 0.000 1
Mo1 0.500 0.500 0.500 1
```


5.
The following is a DFT calculation (PBE) of a relaxed SrAl2GaMo crystal.

Values from the calculation:
- D(E_F) (states/eV/f.u.) = 3.1
- V (Å³/cell) = 123
- calculated formation energy (kcal/mol of atoms) = 14.4
- SG = P4/mmm, No. 123

The structure in CIF format:
```
data_SrAl2GaMo
_chemical_formula_sum 'Sr1 Al2 Ga1 Mo1'
_cell_length_a 4.968
_cell_length_b 4.968
_cell_length_c 4.997
_cell_angle_alpha 90.00
_cell_angle_beta 90.00
_cell_angle_gamma 90.00
_symmetry_space_group_name_H-M 'P 1'
_symmetry_Int_Tables_number 1
_symmetry_space_group_name_Hall 'P 1'
loop_
_atom_site_label
_atom_site_fract_x
_atom_site_fract_y
_atom_site_fract_z
_atom_site_occupancy
Sr1 0.000 0.000 0.000 1
Al1 0.000 0.500 0.500 1
Al2 0.500 0.000 0.500 1
Ga1 0.500 0.500 0.500 1
Mo1 0.500 0.500 0.000 1
```


6.
The following is a DFT calculation (PBE) of a relaxed TaAlGaMo2 crystal.

Values from the calculation:
- D(E_F) (states/eV/f.u.) = 6.4
- V (Å³/cell) = 114
- calculated formation energy (kcal/mol of atoms) = 36.1
- SG = P4/mmm, No. 123

The structure in CIF format:
```
data_TaAlGaMo2
_chemical_formula_sum 'Ta1 Al1 Ga1 Mo2'
_cell_length_a 4.803
_cell_length_b 4.803
_cell_length_c 4.925
_cell_angle_alpha 90.00
_cell_angle_beta 90.00
_cell_angle_gamma 90.00
_symmetry_space_group_name_H-M 'P 1'
_symmetry_Int_Tables_number 1
_symmetry_space_group_name_Hall 'P 1'
loop_
_atom_site_label
_atom_site_fract_x
_atom_site_fract_y
_atom_site_fract_z
_atom_site_occupancy
Ta1 0.000 0.000 0.000 1
Al1 0.500 0.500 0.500 1
Ga1 0.000 0.000 0.500 1
Mo1 0.000 0.500 0.000 1
Mo2 0.500 0.000 0.000 1
```


7.
The following is a DFT calculation (PBE) of a relaxed AlGaTcMo crystal.

Values from the calculation:
- D(E_F) (states/eV/f.u.) = 2.9
- V (Å³/cell) = 59
- calculated formation energy (kcal/mol of atoms) = -2.2
- SG = F-43m, No. 216

The structure in CIF format:
```
data_AlGaTcMo
_chemical_formula_sum 'Al1 Ga1 Tc1 Mo1'
_cell_length_a 4.377
_cell_length_b 4.377
_cell_length_c 4.377
_cell_angle_alpha 60.00
_cell_angle_beta 60.00
_cell_angle_gamma 60.00
_symmetry_space_group_name_H-M 'P 1'
_symmetry_Int_Tables_number 1
_symmetry_space_group_name_Hall 'P 1'
loop_
_atom_site_label
_atom_site_fract_x
_atom_site_fract_y
_atom_site_fract_z
_atom_site_occupancy
Al1 0.000 0.000 0.000 1
Ga1 0.750 0.750 0.750 1
Tc1 0.250 0.250 0.250 1
Mo1 0.500 0.500 0.500 1
```


8.
The following is a DFT calculation (PBE) of a relaxed AlVGaMo crystal.

Values from the calculation:
- D(E_F) (states/eV/f.u.) = 4.7
- V (Å³/cell) = 58
- calculated formation energy (kcal/mol of atoms) = -1.5
- SG = F-43m, No. 216

The structure in CIF format:
```
data_AlVGaMo
_chemical_formula_sum 'Al1 V1 Ga1 Mo1'
_cell_length_a 4.351
_cell_length_b 4.351
_cell_length_c 4.351
_cell_angle_alpha 60.00
_cell_angle_beta 60.00
_cell_angle_gamma 60.00
_symmetry_space_group_name_H-M 'P 1'
_symmetry_Int_Tables_number 1
_symmetry_space_group_name_Hall 'P 1'
loop_
_atom_site_label
_atom_site_fract_x
_atom_site_fract_y
_atom_site_fract_z
_atom_site_occupancy
Al1 0.000 0.000 0.000 1
V1 0.500 0.500 0.500 1
Ga1 0.250 0.250 0.250 1
Mo1 0.750 0.750 0.750 1
```


What did the fourth record say?
The following is a DFT calculation (PBE) of a relaxed RbAl2GaMo crystal.

Values from the calculation:
- D(E_F) (states/eV/f.u.) = 2.8
- energy relative to the lowest polymorph listed for this composition (eV/f.u.) = 0.00
- V (Å³/cell) = 128
- calculated formation energy (kcal/mol of atoms) = 5.4
- SG = P4/mmm, No. 123

The structure in CIF format:
```
data_RbAl2GaMo
_chemical_formula_sum 'Rb1 Al2 Ga1 Mo1'
_cell_length_a 5.034
_cell_length_b 5.034
_cell_length_c 5.069
_cell_angle_alpha 90.00
_cell_angle_beta 90.00
_cell_angle_gamma 90.00
_symmetry_space_group_name_H-M 'P 1'
_symmetry_Int_Tables_number 1
_symmetry_space_group_name_Hall 'P 1'
loop_
_atom_site_label
_atom_site_fract_x
_atom_site_fract_y
_atom_site_fract_z
_atom_site_occupancy
Rb1 0.000 0.000 0.000 1
Al1 0.000 0.500 0.500 1
Al2 0.500 0.000 0.500 1
Ga1 0.500 0.500 0.000 1
Mo1 0.500 0.500 0.500 1
```


> What is the V in the seventh record?

59 Å³/cell


> Among the records above, which one has the highest D(E_F)?

TaAlGaMo2